Compound: Mg2ScFeOs
Source: Alexandria
Functional: GGA-PBE
Structure: optimized geometry

POSCAR file:
```
Mg2ScFeOs
1.0
4.936 0.000 0.000
0.000 3.896 0.000
0.000 0.000 4.936
Mg Os Fe Sc
2 1 1 1
direct
0.500 0.000 0.000
0.000 0.000 0.500
0.500 0.500 0.500
0.000 0.500 0.000
0.000 0.000 0.000
```

Results
**DFT formation energy**: 39.7 kcal/mol of atoms



Compound: Mg2FeOsSe
Source: Alexandria
Functional: GGA-PBE
Structure: optimized geometry

POSCAR file:
```
Mg2FeOsSe
1.0
4.820 0.000 0.000
0.000 4.361 0.000
0.000 0.000 4.820
Os Mg Se Fe
1 2 1 1
direct
0.500 0.500 0.500
0.000 0.000 0.500
0.500 0.000 0.000
0.000 0.000 0.000
0.000 0.500 0.000
```

Results
**Energy relative to the elements, uncorrected**: 0.936 eV per atom
**Polymorph energy (0 for the lowest one)**: 0.0 kJ per mole of atoms



Compound: Mg2FeOsSe
Source: Alexandria
Functional: GGA-PBE
Structure: optimized geometry

POSCAR file:
```
Mg2FeOsSe
1.0
-0.623 -1.077 4.746
-1.697 -4.019 -1.134
4.502 -1.944 0.150
Mg Os Fe Se
2 1 1 1
direct
0.500 0.000 0.000
0.000 0.000 0.500
0.000 0.500 0.000
0.500 0.500 0.500
0.000 0.000 0.000
```

Results
**Energy relative to the elements, uncorrected**: 1.010 eV per atom
**Polymorph energy (0 for the lowest one)**: 7.2 kJ per mole of atoms



Compound: Mg2FeSiOs
Source: Alexandria
Functional: GGA-PBE
Structure: optimized geometry

POSCAR file:
```
Mg2FeSiOs
1.0
-0.677 -4.496 1.423
3.267 -1.335 -2.662
3.137 0.644 3.527
Os Fe Si Mg
1 1 1 2
direct
0.000 0.500 0.000
0.500 0.500 0.500
0.000 0.000 0.000
0.500 0.000 0.000
0.000 0.000 0.500
```

Results
**Energy relative to the elements, uncorrected**: 0.915 eV per atom



Compound: MgUFeOs
Source: Alexandria
Functional: GGA-PBE
Structure: optimized geometry

POSCAR file:
```
MgUFeOs
1.0
-3.561 -0.143 -2.867
0.695 -0.585 -4.482
-1.169 -3.943 -2.000
Mg U Os Fe
1 1 1 1
direct
0.000 0.000 0.000
0.500 0.500 0.500
0.750 0.750 0.750
0.250 0.250 0.250
```

Results
**DFT formation energy**: 2.3 kcal/mol of atoms



Compound: MgFe2P
Source: Alexandria
Functional: GGA-PBE
Structure: optimized geometry

POSCAR file:
```
MgFe2P
1.0
-3.492 0.410 1.600
0.628 -2.221 1.940
2.070 2.036 3.996
Fe Mg P
2 1 1
direct
0.500 0.224 0.178
0.000 0.808 0.009
0.000 0.545 0.534
0.500 0.923 0.780
```

Results
**DFT formation energy**: -1.3 kcal/mol of atoms



Compound: MgFeP2
Source: Alexandria
Functional: GGA-PBE
Structure: optimized geometry

POSCAR file:
```
MgFeP2
1.0
-0.993 0.738 -2.510
-2.576 0.195 1.076
1.227 7.211 1.634
P Fe Mg
2 1 1
direct
0.000 0.000 0.985
0.500 0.500 0.325
0.000 0.000 0.466
0.500 0.500 0.723
```

Results
**DFT formation energy**: 0.2 kcal/mol of atoms



Compound: MgFe2P
Source: Alexandria
Functional: GGA-PBE
Structure: optimized geometry

POSCAR file:
```
MgFe2P
1.0
5.029 -0.075 0.138
-2.210 4.518 0.138
0.666 1.050 2.437
Mg Fe P
1 2 1
direct
0.500 0.000 0.500
0.500 0.500 0.000
0.000 0.000 0.000
0.000 0.500 0.500
```

Results
**DFT formation energy**: 3.5 kcal/mol of atoms



Compound: MgFeP
Source: Alexandria
Functional: GGA-PBE
Structure: optimized geometry

POSCAR file:
```
MgFeP
1.0
3.390 0.001 0.000
-1.694 4.941 0.001
0.000 0.000 5.063
Fe Mg P
2 2 2
direct
0.433 0.951 0.920
0.433 0.951 0.420
0.125 0.335 0.170
0.741 0.567 0.670
0.839 0.762 0.170
0.027 0.140 0.670
```

Results
**DFT formation energy**: -8.0 kcal/mol of atoms



Compound: MgFeP2
Source: Alexandria
Functional: GGA-PBE
Structure: optimized geometry

POSCAR file:
```
MgFeP2
1.0
-0.992 -2.209 1.558
-0.085 -1.634 -2.371
6.164 -1.967 1.134
Mg P Fe
1 2 1
direct
0.500 0.500 0.750
0.000 0.000 0.455
0.000 0.000 0.045
0.500 0.500 0.250
```

Results
**DFT formation energy**: -2.6 kcal/mol of atoms



Compound: MgFeP2
Source: Alexandria
Functional: GGA-PBE
Structure: optimized geometry

POSCAR file:
```
MgFeP2
1.0
3.718 0.000 0.000
0.000 3.594 -0.375
0.000 0.473 4.551
Mg P Fe
1 2 1
direct
0.500 0.750 0.750
0.000 0.250 0.514
0.000 0.250 0.986
0.500 0.250 0.250
```

Results
**DFT formation energy**: -5.6 kcal/mol of atoms



Compound: MgFe4P12
Source: Alexandria
Functional: GGA-PBE
Structure: optimized geometry

POSCAR file:
```
MgFe4P12
1.0
6.343 0.000 -2.243
-3.172 5.493 -2.243
0.000 0.000 6.728
P Fe Mg
12 4 1
direct
0.795 0.148 0.647
0.501 0.148 0.353
0.148 0.353 0.501
0.148 0.647 0.795
0.852 0.647 0.499
0.353 0.501 0.148
0.353 0.205 0.852
0.852 0.353 0.205
0.647 0.795 0.148
0.205 0.852 0.353
0.647 0.499 0.852
0.499 0.852 0.647
0.000 0.500 0.000
0.500 0.500 0.500
0.000 0.000 0.500
0.500 0.000 0.000
0.000 0.000 0.000
```

Results
**DFT formation energy**: -9.2 kcal/mol of atoms



Compound: MgFeP2
Source: Alexandria
Functional: GGA-PBE
Structure: optimized geometry

POSCAR file:
```
MgFeP2
1.0
7.662 -0.016 -0.010
7.083 2.921 -0.010
7.083 1.395 2.566
P Fe Mg
2 1 1
direct
0.990 0.990 0.990
0.243 0.243 0.243
0.514 0.514 0.514
0.753 0.753 0.753
```

Results
**DFT formation energy**: 2.3 kcal/mol of atoms



Compound: Mg2Fe12P7
Source: Alexandria
Functional: GGA-PBE
Structure: optimized geometry

POSCAR file:
```
Mg2Fe12P7
1.0
3.581 0.000 0.000
0.000 7.672 -4.430
0.000 0.000 8.859
Fe Mg P
12 2 7
direct
0.000 0.763 0.723
0.500 0.214 0.454
0.000 0.277 0.039
0.500 0.382 0.280
0.000 0.961 0.237
0.500 0.240 0.786
0.000 0.057 0.548
0.500 0.897 0.618
0.500 0.546 0.760
0.500 0.720 0.103
0.000 0.452 0.509
0.000 0.491 0.943
0.500 0.000 0.000
0.000 0.667 0.333
0.500 0.450 0.071
0.500 0.929 0.379
0.000 0.038 0.786
0.500 0.621 0.550
0.000 0.747 0.962
0.000 0.333 0.667
0.000 0.214 0.253
```

Results
**DFT formation energy**: -11.9 kcal/mol of atoms



Compound: MgFeP2
Source: Alexandria
Functional: GGA-PBE
Structure: optimized geometry

POSCAR file:
```
MgFeP2
1.0
6.589 0.057 -0.056
5.113 4.157 0.056
-5.710 -2.499 2.139
P Mg Fe
2 1 1
direct
0.970 0.970 0.000
0.683 0.183 0.500
0.307 0.807 0.500
0.541 0.541 0.000
```

Results
**DFT formation energy**: -5.5 kcal/mol of atoms



Compound: MgFe2P
Source: Alexandria
Functional: GGA-PBE
Structure: optimized geometry

POSCAR file:
```
MgFe2P
1.0
2.805 0.000 0.000
0.000 2.806 0.000
0.000 0.000 6.105
Fe P Mg
2 1 1
direct
0.000 0.000 0.550
0.000 0.000 0.950
0.500 0.500 0.750
0.500 0.500 0.250
```

Results
**DFT formation energy**: -2.6 kcal/mol of atoms



Compound: MgFeP
Source: Alexandria
Functional: GGA-PBE
Structure: optimized geometry

POSCAR file:
```
MgFeP
1.0
3.685 0.004 -0.005
-1.846 4.817 0.022
1.846 0.414 4.798
Fe P Mg
2 2 2
direct
0.242 0.992 0.670
0.242 0.374 0.051
0.570 0.243 0.265
0.570 0.778 0.800
0.968 0.409 0.634
0.872 0.813 0.230
```

Results
**DFT formation energy**: -8.2 kcal/mol of atoms



Compound: MgFeP2
Source: Alexandria
Functional: GGA-PBE
Structure: optimized geometry

POSCAR file:
```
MgFeP2
1.0
-0.405 -2.659 -4.417
-2.031 -4.755 -0.079
-1.091 4.700 1.862
P Mg Fe
2 1 1
direct
0.000 0.000 0.000
0.250 0.750 0.500
0.750 0.250 0.500
0.500 0.500 0.000
```

Results
**DFT formation energy**: 2.5 kcal/mol of atoms



Compound: MgFeP
Source: Alexandria
Functional: GGA-PBE
Structure: optimized geometry

POSCAR file:
```
MgFeP
1.0
-3.611 0.447 1.763
-2.898 -2.756 -0.599
-1.099 -2.465 3.011
Fe Mg P
1 1 1
direct
0.000 0.000 0.000
0.500 0.500 0.500
0.250 0.250 0.250
```

Results
**DFT formation energy**: -3.3 kcal/mol of atoms



Compound: MgFeP2
Source: Alexandria
Functional: GGA-PBE
Structure: optimized geometry

POSCAR file:
```
MgFeP2
1.0
3.837 0.021 0.004
2.458 2.947 0.004
1.161 0.547 5.195
P Fe Mg
2 1 1
direct
0.019 0.019 0.926
0.481 0.481 0.574
0.750 0.750 0.750
0.250 0.250 0.250
```

Results
**DFT formation energy**: -6.2 kcal/mol of atoms



Compound: MgFe4P
Source: Alexandria
Functional: GGA-PBE
Structure: optimized geometry

POSCAR file:
```
MgFe4P
1.0
0.000 3.384 3.384
3.384 0.000 3.384
3.384 3.384 0.000
Fe P Mg
4 1 1
direct
0.375 0.375 0.875
0.375 0.875 0.375
0.375 0.375 0.375
0.875 0.375 0.375
0.000 0.000 0.000
0.750 0.750 0.750
```

Results
**DFT formation energy**: 4.6 kcal/mol of atoms



Compound: MgFe3P2
Source: Alexandria
Functional: GGA-PBE
Structure: optimized geometry

POSCAR file:
```
MgFe3P2
1.0
-2.130 -2.663 1.219
6.945 -2.339 1.650
-2.481 5.145 6.906
Mg Fe P
3 9 6
direct
0.837 0.675 0.299
0.163 0.325 0.701
0.000 0.000 0.000
0.036 0.071 0.346
0.214 0.428 0.393
0.786 0.572 0.607
0.964 0.929 0.654
0.500 0.000 0.500
0.315 0.630 0.025
0.616 0.232 0.202
0.384 0.768 0.798
0.685 0.370 0.975
0.356 0.713 0.544
0.194 0.388 0.141
0.540 0.080 0.790
0.460 0.920 0.210
0.806 0.612 0.859
0.644 0.287 0.456
```

Results
**DFT formation energy**: -10.3 kcal/mol of atoms



Compound: MgFe2P
Source: Alexandria
Functional: GGA-PBE
Structure: optimized geometry

POSCAR file:
```
MgFe2P
1.0
2.971 0.000 0.000
0.000 2.971 0.000
0.000 0.000 6.052
P Fe Mg
1 2 1
direct
0.500 0.500 0.812
0.000 0.000 0.976
0.500 0.500 0.214
0.000 0.000 0.498
```

Results
**DFT formation energy**: -2.4 kcal/mol of atoms



Compound: MgFeP
Source: Alexandria
Functional: GGA-PBE
Structure: optimized geometry

POSCAR file:
```
MgFeP
1.0
-0.165 -0.722 -3.695
-1.386 -3.427 0.731
-4.707 4.254 1.301
Fe P Mg
2 2 2
direct
0.500 0.000 0.000
0.000 0.500 0.000
0.885 0.885 0.769
0.115 0.115 0.231
0.661 0.661 0.323
0.339 0.339 0.677
```

Results
**DFT formation energy**: -10.3 kcal/mol of atoms



Compound: MgFe2P
Source: Alexandria
Functional: GGA-PBE
Structure: optimized geometry

POSCAR file:
```
MgFe2P
1.0
4.790 0.005 -0.004
2.052 4.328 0.004
-3.069 -2.722 2.473
P Mg Fe
1 1 2
direct
0.776 0.276 0.500
0.506 0.506 0.000
0.984 0.984 0.000
0.234 0.734 0.500
```

Results
**DFT formation energy**: -0.4 kcal/mol of atoms



Compound: Mg4FeP
Source: Alexandria
Functional: GGA-PBE
Structure: optimized geometry

POSCAR file:
```
Mg4FeP
1.0
-4.215 1.615 3.161
-2.468 4.834 -0.956
-5.106 0.125 -2.069
Mg P Fe
4 1 1
direct
0.375 0.875 0.375
0.375 0.375 0.875
0.875 0.375 0.375
0.375 0.375 0.375
0.750 0.750 0.750
0.000 0.000 0.000
```

Results
**DFT formation energy**: 12.7 kcal/mol of atoms



Compound: MgFeP
Source: Alexandria
Functional: GGA-PBE
Structure: optimized geometry

POSCAR file:
```
MgFeP
1.0
3.790 0.000 0.000
0.001 5.818 0.000
0.000 0.000 3.790
Mg P Fe
2 2 2
direct
0.309 0.541 0.704
0.809 0.211 0.204
0.308 0.086 0.703
0.808 0.667 0.203
0.308 0.876 0.203
0.808 0.876 0.703
```

Results
**DFT formation energy**: -12.5 kcal/mol of atoms